Crystalline Tb5Pm3Y4 at its relaxed geometry. Source: Alexandria via LeMat-Bulk, functional PBE.

The space group is C2/m (No. 12) and the conventional cell measures 16.0761, 5.9498 and 9.3246 Å, with angles of 90.00, 116.34 and 90.00 degrees. Symmetry generates all atoms from Tb at (0.0000, 0.0000, 0.0000), Tb at (0.0743, 0.5000, 0.6977), Tb at (0.1726, 0.5000, 0.3868), Pm at (0.0000, 0.5000, 0.0000), Pm at (0.2086, 0.0000, 0.2314), Y at (0.0811, 0.0000, 0.4398) and Y at (0.2098, 0.0000, 0.8776).

The formation energy from the elements comes out at 0.22 eV/atom. The relative energy among the computed polymorphs comes out at 208 meV per atom.